First-principles (PBE) data for a relaxed DyTmTh2 crystal, as listed in Alexandria.

Unit cell a=5.029 b=5.040 c=11.202 alpha=90.00 beta=116.63 gamma=90.00
Element x y z (fractional)
Th: 0.124 0.750 0.124
Dy: 0.873 0.750 0.373
Th: 0.375 0.750 0.875
Th: 0.876 0.250 0.876
Tm: 0.373 0.250 0.373
Th: 0.625 0.250 0.125
Tm: 0.627 0.750 0.627
Dy: 0.127 0.250 0.627

Output
Space group: P2_1/m, No. 11
ΔH_f (0 K), eV/atom: 0.03
Excess energy over the best structure of this formula in the dataset, meV/atom: 0
V, Å³/atom: 31.73
Energy, eV/atom: -5.95

---

First-principles (PBE) data for a relaxed Dy15Tm2Th2 crystal, as listed in Alexandria.

Unit cell a=8.718 b=8.718 c=8.718 alpha=78.53 beta=78.53 gamma=78.53
Element x y z (fractional)
Dy: 0.852 0.371 0.371
Dy: 0.301 0.699 0.000
Dy: 0.000 0.000 0.500
Dy: 0.000 0.500 0.000
Dy: 0.148 0.629 0.629
Tm: 0.686 0.686 0.686
Dy: 0.000 0.699 0.301
Dy: 0.699 0.000 0.301
Dy: 0.699 0.301 0.000
Tm: 0.314 0.314 0.314
Dy: 0.500 0.000 0.000
Th: 0.912 0.912 0.912
Dy: 0.000 0.301 0.699
Dy: 0.371 0.371 0.852
Dy: 0.301 0.000 0.699
Dy: 0.629 0.148 0.629
Dy: 0.629 0.629 0.148
Dy: 0.371 0.852 0.371
Th: 0.088 0.088 0.088

Output
Space group: R-3m, No. 166
ΔH_f (0 K), eV/atom: 0.31
V, Å³/atom: 33.03
Energy, eV/atom: -4.58

---

First-principles (PBE) data for a relaxed Dy2Tm5Th5 crystal, as listed in Alexandria.

Unit cell a=4.999 b=7.900 c=10.646 alpha=72.79 beta=76.42 gamma=71.55
Element x y z (fractional)
Tm: 0.416 0.920 0.248
Th: 0.169 0.165 0.498
Tm: 0.500 0.500 0.500
Tm: 0.584 0.080 0.752
Th: 0.250 0.753 0.748
Dy: 0.917 0.415 0.751
Tm: 0.332 0.332 0.004
Dy: 0.083 0.585 0.249
Th: 0.750 0.247 0.252
Th: 0.000 0.000 0.000
Th: 0.831 0.835 0.502
Tm: 0.668 0.668 0.996

Output
Space group: C2/m, No. 12
ΔH_f (0 K), eV/atom: 0.04
V, Å³/atom: 31.36
Energy, eV/atom: -5.68